VASP calculation (PBE-GGA) on crystalline Sm9TlSn2 at its relaxed geometry.

## Properties
total magnetic moment = 0.000 μB per atom
energy relative to the elements = -366 meV/atom
E_tot = -57.24 eV per cell

a b c (Å): 4.913 4.913 14.710
angles (deg): 90.00 90.00 90.00
Positions (direct):
Sm  0.000  0.500  0.500
Sm  0.500  0.000  0.170
Sm  0.500  0.500  0.665
Sm  0.500  0.500  0.335
Sm  0.500  0.000  0.830
Sm  0.000  0.500  0.170
Sm  0.500  0.000  0.500
Sm  0.500  0.500  0.000
Sm  0.000  0.500  0.830
Sn  0.000  0.000  0.333
Sn  0.000  0.000  0.667
Tl  0.000  0.000  0.000